Compound: Tc2Sb2As
Source: Alexandria
Functional: PBE
Structure: optimized geometry

Its uncorrected formation energy is 0.60 eV per atom. The final energy is -0.2252 Ha/atom. The value obtained for the density of states at the Fermi level is 1.041 states/eV/atom. As for the total magnetization: 0.00 μB/cell.

The structure belongs to space group I4/mmm (No. 139); the cell edges are 4.210, 4.210 and 11.822 Å and the angles 90.00°, 90.00° and 90.00°. The inequivalent atoms are Tc at (0.000, 0.000, 0.108), Sb at (0.000, 0.500, 0.250) and As at (0.000, 0.000, 0.500).


Compound: Tc4SbAs
Source: Alexandria
Functional: PBE
Structure: optimized geometry

Its uncorrected formation energy is 0.52 eV per atom. The final energy is -0.2885 Ha/atom. The value obtained for the density of states at the Fermi level is 1.095 states/eV/atom. As for the total magnetization: 0.00 μB/cell.

The structure belongs to space group F-43m (No. 216); the cell edges are 7.397, 7.397 and 7.397 Å and the angles 90.00°, 90.00° and 90.00°. The inequivalent atoms are Tc at (0.124, 0.124, 0.376), Sb at (0.000, 0.000, 0.000) and As at (0.250, 0.250, 0.750).


Compound: VTc2SbAs
Source: Alexandria
Functional: PBE
Structure: optimized geometry

Its uncorrected formation energy is 1.79 eV per atom. The final energy is -0.2182 Ha/atom. The value obtained for the density of states at the Fermi level is 1.100 states/eV/atom. As for the total magnetization: 2.70 μB/cell.

The structure belongs to space group P4/mmm (No. 123); the cell edges are 4.867, 4.867 and 4.851 Å and the angles 90.00°, 90.00° and 90.00°. The inequivalent atoms are V at (0.000, 0.000, 0.000), Tc at (0.000, 0.500, 0.500), Sb at (0.000, 0.000, 0.500) and As at (0.500, 0.500, 0.000).


Compound: Sb2TeAs
Source: Alexandria
Functional: PBE
Structure: optimized geometry

Its uncorrected formation energy is 0.32 eV per atom. The energy above the most stable polymorph in this dataset is 282.7 meV per atom. The final energy is -0.1356 Ha/atom. The value obtained for the density of states at the Fermi level is 0.617 states/eV/atom. As for the total magnetization: 0.00 μB/cell.

The structure belongs to space group Pmmm (No. 47); the cell edges are 3.668, 5.257 and 5.288 Å and the angles 90.00°, 90.00° and 90.00°. The inequivalent atoms are Sb at (0.000, 0.000, 0.000), Sb at (0.500, 0.500, 0.000), Te at (0.000, 0.500, 0.500) and As at (0.500, 0.000, 0.500).


Compound: SbTeAs
Source: Alexandria
Functional: PBE
Structure: optimized geometry

Its uncorrected formation energy is 0.16 eV per atom. The energy above the most stable polymorph in this dataset is 111.2 meV per atom. The final energy is -0.1399 Ha/atom. The value obtained for the density of states at the Fermi level is 0.549 states/eV/atom. As for the total magnetization: 0.00 μB/cell.

The structure belongs to space group Immm (No. 71); the cell edges are 3.047, 8.066 and 14.386 Å and the angles 90.00°, 90.00° and 90.00°. The inequivalent atoms are Sb at (0.000, 0.230, 0.000), Te at (0.000, 0.500, 0.309) and As at (0.000, 0.500, 0.120).


Compound: Sb2TeAs2
Source: Alexandria
Functional: PBE
Structure: optimized geometry

Its uncorrected formation energy is 0.14 eV per atom. The energy above the most stable polymorph in this dataset is 0.0 meV per atom. The final energy is -0.1468 Ha/atom. The value obtained for the density of states at the Fermi level is 0.359 states/eV/atom. As for the total magnetization: 0.00 μB/cell.

The structure belongs to space group I4/mmm (No. 139); the cell edges are 5.406, 5.406 and 9.130 Å and the angles 90.00°, 90.00° and 90.00°. The inequivalent atoms are Sb at (0.000, 0.500, 0.250), Te at (0.000, 0.000, 0.000) and As at (0.000, 0.000, 0.362).


Compound: SbTe3As
Source: Alexandria
Functional: PBE
Structure: optimized geometry

Its uncorrected formation energy is -0.06 eV per atom. The energy above the most stable polymorph in this dataset is 0.0 meV per atom. The final energy is -0.1360 Ha/atom. As for the total magnetization: 0.00 μB/cell.

The structure belongs to space group Pnma (No. 62); the cell edges are 10.403, 4.183 and 15.193 Å and the angles 90.00°, 90.00° and 90.00°. The inequivalent atoms are Sb at (0.039, 0.250, 0.130), Te at (0.005, 0.250, 0.382), Te at (0.175, 0.250, 0.967), Te at (0.204, 0.750, 0.207) and As at (0.145, 0.250, 0.547).


Compound: Sb2TeAs
Source: Alexandria
Functional: PBE
Structure: optimized geometry

Its uncorrected formation energy is 0.29 eV per atom. The energy above the most stable polymorph in this dataset is 254.3 meV per atom. The final energy is -0.1367 Ha/atom. The value obtained for the density of states at the Fermi level is 0.527 states/eV/atom. As for the total magnetization: 0.00 μB/cell.

The structure belongs to space group Fm-3m (No. 225); the cell edges are 7.410, 7.410 and 7.410 Å and the angles 90.00°, 90.00° and 90.00°. The inequivalent atoms are Sb at (0.250, 0.250, 0.250), Te at (0.000, 0.000, 0.000) and As at (0.000, 0.000, 0.500).


Compound: Sb2TeAs
Source: Alexandria
Functional: PBE
Structure: optimized geometry

Its uncorrected formation energy is 0.06 eV per atom. The energy above the most stable polymorph in this dataset is 19.6 meV per atom. The final energy is -0.1453 Ha/atom. The value obtained for the density of states at the Fermi level is 0.431 states/eV/atom. As for the total magnetization: 0.00 μB/cell.

The structure belongs to space group R3m (No. 160, hexagonal axes); the cell edges are 4.2275, 4.2275 and 21.8667 Å and the angles 90.00°, 90.00° and 120.00°. The inequivalent atoms are Sb at (0.0000, 0.0000, 0.0000), Sb at (0.0000, 0.0000, 0.2433), Te at (0.0000, 0.0000, 0.7534) and As at (0.0000, 0.0000, 0.5065).


Compound: SbTe3As
Source: Alexandria
Functional: PBE
Structure: optimized geometry

Its uncorrected formation energy is -0.05 eV per atom. The energy above the most stable polymorph in this dataset is 11.6 meV per atom. The final energy is -0.1356 Ha/atom. As for the total magnetization: 0.00 μB/cell.

The structure belongs to space group Pnma (No. 62); the cell edges are 11.425, 4.208 and 14.052 Å and the angles 90.00°, 90.00° and 90.00°. The inequivalent atoms are Sb at (0.163, 0.250, 0.038), Te at (0.026, 0.750, 0.136), Te at (0.145, 0.250, 0.449), Te at (0.174, 0.750, 0.703) and As at (0.042, 0.250, 0.620).


Compound: Sb2TeAs
Source: Alexandria
Functional: PBE
Structure: optimized geometry

Its uncorrected formation energy is 0.23 eV per atom. The energy above the most stable polymorph in this dataset is 198.0 meV per atom. The final energy is -0.1387 Ha/atom. The value obtained for the density of states at the Fermi level is 0.485 states/eV/atom. As for the total magnetization: 0.00 μB/cell.

The structure belongs to space group P4mm (No. 99); the cell edges are 3.671, 3.671 and 8.138 Å and the angles 90.00°, 90.00° and 90.00°. The inequivalent atoms are Sb at (0.000, 0.000, 0.000), Sb at (0.500, 0.500, 0.313), Te at (0.000, 0.000, 0.518) and As at (0.500, 0.500, 0.846).


Compound: Sb2TeAs
Source: Alexandria
Functional: PBE
Structure: optimized geometry

Its uncorrected formation energy is 0.39 eV per atom. The energy above the most stable polymorph in this dataset is 350.5 meV per atom. The final energy is -0.1331 Ha/atom. The value obtained for the density of states at the Fermi level is 0.730 states/eV/atom. As for the total magnetization: 0.00 μB/cell.

The structure belongs to space group I-4m2 (No. 119); the cell edges are 4.408, 4.408 and 10.673 Å and the angles 90.00°, 90.00° and 90.00°. The inequivalent atoms are Sb at (0.000, 0.000, 0.000), Sb at (0.000, 0.500, 0.250), Te at (0.000, 0.500, 0.750) and As at (0.000, 0.000, 0.500).